Record 1
! Tb5Nd2DyTm | Alexandria | PBE-GGA | optimized geometry; values from VASP
! **Volume**: 588.6 Å³ per cell
! **Electronic total energy**: -4.363 eV/atom
! **DOS(E_F)**: 24.9 states/eV/cell
&SYSTEM
  ibrav = 0, nat = 18, ntyp = 4
/
ATOMIC_SPECIES
Tb 158.93 Tb.upf
Nd 144.24 Nd.upf
Dy 162.50 Dy.upf
Tm 168.93 Tm.upf
ATOMIC_POSITIONS crystal
Tb 0.927 0.427 0.283
Tb 0.644 0.144 0.717
Tb 0.073 0.573 0.717
Tb 0.144 0.073 0.717
Tb 0.573 0.644 0.717
Tb 0.856 0.927 0.283
Tb 0.427 0.356 0.283
Tb 0.356 0.856 0.283
Tb 0.500 0.500 0.000
Tb 0.000 0.000 0.000
Nd 0.119 0.381 0.000
Nd 0.619 0.119 0.000
Nd 0.381 0.881 0.000
Nd 0.881 0.619 0.000
Dy 0.250 0.250 0.500
Dy 0.750 0.750 0.500
Tm 0.250 0.750 0.500
Tm 0.750 0.250 0.500
CELL_PARAMETERS angstrom
-6.701 4.924 -2.166
-5.242 -6.755 0.861
4.850 2.764 8.324

---

Record 2
! Tb3Nd2DyTm6 | Alexandria | PBE-GGA | optimized geometry; values from VASP
! **Volume**: 375.6 Å³ per cell
! **Electronic total energy**: -4.551 eV/atom
! **DOS(E_F)**: 14.9 states/eV/cell
&SYSTEM
  ibrav = 0, nat = 12, ntyp = 4
/
ATOMIC_SPECIES
Tb 158.93 Tb.upf
Nd 144.24 Nd.upf
Dy 162.50 Dy.upf
Tm 168.93 Tm.upf
ATOMIC_POSITIONS crystal
Tb 0.167 0.833 0.500
Tb 0.833 0.167 0.500
Tb 0.500 0.500 0.500
Nd 0.333 0.667 0.000
Nd 0.667 0.333 0.000
Dy 0.000 0.000 0.000
Tm 0.916 0.583 0.748
Tm 0.752 0.752 0.252
Tm 0.084 0.417 0.252
Tm 0.583 0.916 0.748
Tm 0.248 0.248 0.748
Tm 0.417 0.084 0.252
CELL_PARAMETERS angstrom
6.140 0.001 0.003
-3.068 5.319 0.003
-1.026 -1.777 11.497

---

Record 3
! Tb2Nd5DyTm | Alexandria | PBE-GGA | optimized geometry; values from VASP
! **Volume**: 617.2 Å³ per cell
! **Electronic total energy**: -4.545 eV/atom
! **DOS(E_F)**: 28.1 states/eV/cell
&SYSTEM
  ibrav = 0, nat = 18, ntyp = 4
/
ATOMIC_SPECIES
Tb 158.93 Tb.upf
Nd 144.24 Nd.upf
Dy 162.50 Dy.upf
Tm 168.93 Tm.upf
ATOMIC_POSITIONS crystal
Tb 0.885 0.770 0.810
Tb 0.113 0.226 0.738
Tb 0.115 0.230 0.310
Tb 0.887 0.774 0.238
Nd 0.383 0.767 0.021
Nd 0.721 0.442 0.814
Nd 0.483 0.966 0.744
Nd 0.297 0.594 0.707
Nd 0.984 0.968 0.517
Nd 0.617 0.233 0.521
Nd 0.279 0.558 0.314
Nd 0.517 0.034 0.244
Nd 0.703 0.406 0.207
Nd 0.016 0.032 0.017
Dy 0.592 0.185 0.963
Dy 0.408 0.815 0.463
Tm 0.802 0.603 0.511
Tm 0.198 0.397 0.011
CELL_PARAMETERS angstrom
5.661 0.000 0.000
-2.830 10.197 0.000
0.000 0.000 10.692